i) Here is Zn2CuRe after structural relaxation from the Alexandria database. Energies are from PBE.

```
Zn2CuRe
1.0
4.460 0.000 0.000
0.000 4.460 0.000
0.000 0.000 2.794
Cu Re Zn
1 1 2
direct
0.500 0.000 0.500
0.000 0.500 0.500
0.000 0.000 0.000
0.500 0.500 0.000
```

Properties
Magnetization = 0.0 μB/f.u.
Symmetry = P4/mmm
N(E_F) = 1.70 states/eV/f.u.
Calculated volume = 13.9 Å³ per atom

ii) Here is Zn2CuRe after structural relaxation from the Alexandria database. Energies are from PBE.

```
Zn2CuRe
1.0
5.246 0.008 0.015
2.595 4.559 -0.015
-3.300 -3.349 2.328
Cu Re Zn
1 1 2
direct
0.507 0.507 0.000
0.254 0.754 0.500
0.994 0.994 0.000
0.744 0.244 0.500
```

Properties
Magnetization = 0.0 μB/f.u.
Symmetry = Imm2
N(E_F) = 1.63 states/eV/f.u.
Calculated volume = 13.9 Å³ per atom

iii) Here is Zn2CuRe after structural relaxation from the Alexandria database. Energies are from PBE.

```
Zn2CuRe
1.0
-3.189 -0.739 2.764
-3.091 -2.796 -0.993
-0.231 -3.755 2.050
Re Zn Cu
1 2 1
direct
0.500 0.500 0.500
0.250 0.250 0.250
0.750 0.750 0.750
0.000 0.000 0.000
```

Properties
Magnetization = 1.1 μB/f.u.
Symmetry = Fm-3m
N(E_F) = 3.10 states/eV/f.u.
Calculated volume = 13.9 Å³ per atom

So which one is most stable? That would be i), about 0.011 eV/atom below the next structure.

i) Here is Zn2CuRe after structural relaxation from the Alexandria database. Energies are from PBE.

```
Zn2CuRe
1.0
4.998 -0.017 -0.055
-2.322 4.520 0.016
0.353 0.741 2.466
Cu Re Zn
1 1 2
direct
0.000 0.500 0.500
0.500 0.500 0.000
0.000 0.000 0.000
0.500 0.000 0.500
```

Properties
Magnetization = 0.0 μB/f.u.
Symmetry = C2/m
N(E_F) = 1.86 states/eV/f.u.
Calculated volume = 13.9 Å³ per atom

ii) Here is Zn2CuRe after structural relaxation from the Alexandria database. Energies are from PBE.

```
Zn2CuRe
1.0
4.281 0.000 0.000
0.000 2.635 0.029
0.000 0.692 4.950
Cu Re Zn
1 1 2
direct
0.000 0.443 0.488
0.500 0.741 0.767
0.000 0.149 0.979
0.500 0.167 0.266
```

Properties
Magnetization = 0.0 μB/f.u.
Symmetry = Pm
N(E_F) = 1.89 states/eV/f.u.
Calculated volume = 13.9 Å³ per atom

iii) Here is Zn2CuRe after structural relaxation from the Alexandria database. Energies are from PBE.

```
Zn2CuRe
1.0
2.631 0.000 0.000
0.000 2.631 0.000
0.000 0.000 8.069
Cu Re Zn
1 1 2
direct
0.000 0.000 0.496
0.500 0.500 0.742
0.000 0.000 0.001
0.500 0.500 0.261
```

Properties
Magnetization = 0.0 μB/f.u.
Symmetry = P4mm
N(E_F) = 1.89 states/eV/f.u.
Calculated volume = 14.0 Å³ per atom

iv) Here is Zn2CuRe after structural relaxation from the Alexandria database. Energies are from PBE.

```
Zn2CuRe
1.0
-1.079 -1.152 2.100
2.597 -0.278 0.284
0.323 7.251 4.145
Cu Re Zn
1 1 2
direct
0.500 0.500 0.250
0.500 0.500 0.750
0.000 0.000 0.012
0.000 0.000 0.488
```

Properties
Magnetization = 0.0 μB/f.u.
Symmetry = Cmmm
N(E_F) = 1.11 states/eV/f.u.
Calculated volume = 13.9 Å³ per atom

So which one is most stable? That would be iv), about 0.058 eV/atom below the next structure.